No. 1
Entry from the Alexandria database: a relaxed YAgC crystal (PBE).

The size of the total moment comes out at 0.00 μB/f.u. Its formation enthalpy at 0 K is -54 kJ/mol of formula units.

It has space group P-1 (No. 2), with a = 3.748 Å, b = 4.612 Å, c = 6.917 Å, α = 101.46°, β = 90.22° and γ = 113.84°. The distinct sites, in fractional coordinates, are Y at (0.120, 0.243, 0.323), Ag at (0.366, 0.731, 0.073) and C at (0.419, 0.840, 0.448).

No. 2
Entry from the Alexandria database: a relaxed PuCd15Ag4 crystal (PBE).

The size of the total moment comes out at 5.72 μB/f.u. Its formation enthalpy at 0 K is -11 kJ/mol of formula units.

It has space group P4/mmm (No. 123), with a = 4.461 Å, b = 4.461 Å, c = 21.853 Å, α = 90.00°, β = 90.00° and γ = 90.00°. The distinct sites, in fractional coordinates, are Pu at (0.000, 0.000, 0.000), Cd at (0.000, 0.500, 0.110), Cd at (0.000, 0.500, 0.306), Cd at (0.000, 0.500, 0.500), Cd at (0.500, 0.500, 0.000), Cd at (0.500, 0.500, 0.210), Cd at (0.500, 0.500, 0.402), Ag at (0.000, 0.000, 0.206) and Ag at (0.000, 0.000, 0.405).

No. 3
Entry from the Alexandria database: a relaxed PmSmSiPd crystal (PBE).

The size of the total moment comes out at 0.00 μB/f.u. The energy relative to the lowest polymorph listed for this composition comes out at 0.0 kJ per mole of atoms.

It has space group Amm2 (No. 38), with a = 4.271 Å, b = 4.100 Å, c = 11.022 Å, α = 90.00°, β = 90.00° and γ = 90.00°. The distinct sites, in fractional coordinates, are Pm at (0.000, 0.000, 0.000), Sm at (0.500, 0.000, 0.279), Si at (0.000, 0.000, 0.717) and Pd at (0.500, 0.000, 0.568).

No. 4
Entry from the Alexandria database: a relaxed Zn2GaAg4 crystal (PBE).

The size of the total moment comes out at 0.00 μB/f.u. The energy relative to the lowest polymorph listed for this composition comes out at 4.6 kJ per mole of atoms. Its formation enthalpy at 0 K is 44 kJ/mol of formula units.

It has space group C2/m (No. 12), with a = 8.839 Å, b = 6.445 Å, c = 5.464 Å, α = 90.00°, β = 125.89° and γ = 90.00°. The distinct sites, in fractional coordinates, are Zn at (0.003, 0.000, 0.240), Ga at (0.000, 0.500, 0.000) and Ag at (0.205, 0.282, 0.707).